A geometry-optimized As2RuCl structure. Source: the Alexandria database, functional GGA-PBE.

The calculation puts the energy relative to the lowest polymorph listed for this composition at 2.88 eV/f.u. The magnetic moment comes out at 0.00 μB per cell. Its uncorrected formation energy is 547.1 meV per atom.

It has space group Cmmm (No. 65), with a = 5.169 Å, b = 8.349 Å, c = 3.196 Å, α = 90.00°, β = 90.00° and γ = 90.00°. The distinct sites, in fractional coordinates, are As at (0.250, 0.250, 0.000), Ru at (0.000, 0.000, 0.500) and Cl at (0.000, 0.500, 0.500).

A geometry-optimized Y2FeAg structure. Source: the Alexandria database, functional GGA-PBE.

The calculation puts the formation energy at 0.159 eV per atom. The magnetic moment comes out at 1.57 μB per cell.

It has space group P4mm (No. 99), with a = 3.871 Å, b = 3.871 Å, c = 6.308 Å, α = 90.00°, β = 90.00° and γ = 90.00°. The distinct sites, in fractional coordinates, are Y at (0.000, 0.000, 0.000), Y at (0.500, 0.500, 0.354), Fe at (0.500, 0.500, 0.851) and Ag at (0.000, 0.000, 0.546).

A geometry-optimized CuSe4 structure. Source: the Alexandria database, functional GGA-PBE.

The calculation puts the energy relative to the lowest polymorph listed for this composition at 2.68 eV/f.u. The magnetic moment comes out at 0.00 μB per cell. Its uncorrected formation energy is 586.5 meV per atom.

It has space group Pm-3m (No. 221), with a = 4.764 Å, b = 4.764 Å, c = 4.764 Å, α = 90.00°, β = 90.00° and γ = 90.00°. The distinct sites, in fractional coordinates, are Cu at (0.000, 0.000, 0.000), Se at (0.000, 0.000, 0.500) and Se at (0.500, 0.500, 0.500).

A geometry-optimized HgPdF structure. Source: the Alexandria database, functional GGA-PBE.

The magnetic moment comes out at 0.00 μB per cell. Its uncorrected formation energy is -508.9 meV per atom.

It has space group P3m1 (No. 156), with a = 4.2572 Å, b = 4.2572 Å, c = 3.0757 Å, α = 90.00°, β = 90.00° and γ = 120.00°. The distinct sites, in fractional coordinates, are Hg at (0.0000, 0.0000, 0.0000), Pd at (0.3333, 0.6667, 0.4970) and F at (0.6667, 0.3333, 0.5099).

Number 1: energy -4.558 eV/atom. Number 2: energy -5.901 eV/atom. Number 3: energy -3.020 eV/atom. Number 4: energy -2.964 eV/atom.